The following is a GGA-PBE calculation of a relaxed structure of Al3V12Si, from Alexandria via LeMat-Bulk.

The structure belongs to space group Pmmm (No. 47); the cell edges are 4.742, 4.750 and 9.715 Å and the angles 90.00°, 90.00° and 90.00°. Symmetry generates all atoms from Al at (0.000, 0.000, 0.000), Al at (0.500, 0.500, 0.251), V at (0.000, 0.500, 0.124), V at (0.000, 0.500, 0.379), V at (0.238, 0.000, 0.256), V at (0.500, 0.250, 0.500), V at (0.500, 0.262, 0.000) and Si at (0.000, 0.000, 0.500).

The calculated volume is 13.7 A^3/atom. For the uncorrected formation energy, the calculation gives -0.22 eV per atom.

=====

The following is a GGA-PBE calculation of a relaxed structure of AlVSi, from Alexandria via LeMat-Bulk.

The structure belongs to space group I4/mmm (No. 139); the cell edges are 3.820, 3.820 and 12.349 Å and the angles 90.00°, 90.00° and 90.00°. Symmetry generates all atoms from Al at (0.000, 0.000, 0.100), V at (0.000, 0.500, 0.250) and Si at (0.000, 0.000, 0.395).

The calculated volume is 15.0 A^3/atom. For the uncorrected formation energy, the calculation gives -0.20 eV per atom.

=====

The following is a GGA-PBE calculation of a relaxed structure of Al2VSi2, from Alexandria via LeMat-Bulk.

The structure belongs to space group P4/mbm (No. 127); the cell edges are 6.433, 6.433 and 3.604 Å and the angles 90.00°, 90.00° and 90.00°. Symmetry generates all atoms from Al at (0.168, 0.332, 0.000), V at (0.000, 0.000, 0.500) and Si at (0.137, 0.637, 0.500).

The calculated volume is 14.9 A^3/atom. For the uncorrected formation energy, the calculation gives -0.05 eV per atom.

=====

The following is a GGA-PBE calculation of a relaxed structure of AlV12Si3, from Alexandria via LeMat-Bulk.

The structure belongs to space group Pmmm (No. 47); the cell edges are 4.709, 4.733 and 9.500 Å and the angles 90.00°, 90.00° and 90.00°. Symmetry generates all atoms from Al at (0.000, 0.000, 0.000), V at (0.000, 0.251, 0.255), V at (0.250, 0.500, 0.500), V at (0.260, 0.500, 0.000), V at (0.500, 0.000, 0.129), V at (0.500, 0.000, 0.374), Si at (0.000, 0.000, 0.500) and Si at (0.500, 0.500, 0.251).

The calculated volume is 13.2 A^3/atom. For the uncorrected formation energy, the calculation gives -0.38 eV per atom.

=====

| no. | magnetic moment (μB/f.u.) | VASP energy (eV per atom) |
| --- | --- | --- |
| 1 | 0.00 | -8.0964 |
| 2 | 0.00 | -6.2983 |
| 3 | 0.00 | -5.5410 |
| 4 | 0.00 | -8.4673 |